YTeW: relaxed, PBE.

Results
- Fermi-level density of states (states/eV per atom) = 1.476
- offset from the most stable computed form (meV per atom) = 0
- space-group type = I4mm, No. 107
- size of the total moment (μB per formula unit) = 0.0

a b c (Å): 6.135 6.135 6.135
angles (deg): 146.86 146.86 47.58
Element x y z (fractional)
Y  0.000  0.000  0.000
Te  0.289  0.289  0.000
W  0.674  0.674  0.000

Y2TeW: relaxed, PBE.

Results
- Fermi-level density of states (states/eV per atom) = 0.911
- space-group type = Imm2, No. 44
- size of the total moment (μB per formula unit) = 0.0

a b c (Å): 6.561 6.561 6.561
angles (deg): 148.59 136.06 55.01
Element x y z (fractional)
Y  0.000  0.000  0.000
Y  0.720  0.220  0.500
Te  0.407  0.407  0.000
W  0.222  0.722  0.500

YTeW2: relaxed, PBE.

Results
- Fermi-level density of states (states/eV per atom) = 0.840
- space-group type = P4mm, No. 99
- size of the total moment (μB per formula unit) = 0.0

a b c (Å): 3.313 3.313 7.823
angles (deg): 90.00 90.00 90.00
Element x y z (fractional)
Y  0.000  0.000  0.000
Te  0.500  0.500  0.341
W  0.000  0.000  0.566
W  0.500  0.500  0.744

| no. | raw formation energy (eV per atom) |
| --- | --- |
| 1 | 0.13 |
| 2 | -0.03 |
| 3 | 0.20 |